Density functional theory data (PBE) for a relaxed structure of DySiO3.

**Space-group type**: P2_1/c
**Electronic total energy**: -7.955 eV per atom
**Uncorrected formation energy**: -2.98 eV per atom
**Fermi-level density of states**: 0.00 states/eV per cell

Geometry as extended XYZ:
```
20
Lattice="5.9755 0.0000 0.0000 0.0000 5.2212 0.0000 -4.0290 0.0000 9.9269" Properties=species:S:1:pos:R:3 pbc="T T T"
Dy 0.5021 0.2912 1.7601
Dy -1.5124 2.3194 6.7236
Dy 3.4589 2.9018 3.2033
Dy 1.4443 4.9301 8.1667
Si 0.3242 3.0187 4.0962
Si -1.6903 4.8132 9.0596
Si 3.6368 0.4081 0.8673
Si 1.6223 2.2025 5.8307
O -2.3547 0.6988 8.0045
O -0.3402 1.9118 3.0411
O -1.0313 3.6244 4.8194
O -3.0458 4.2074 9.7829
O -0.6769 3.8383 8.1791
O 1.3376 3.9936 3.2156
O 0.6089 1.2276 6.7113
O 2.6234 1.3830 1.7478
O 4.9923 1.0138 0.1440
O 2.9778 1.5968 5.1075
O 2.2867 3.3094 6.8858
O 4.3012 4.5224 1.9224
```